Record 1
This record from Alexandria describes a geometry-optimized In6CuAg10 structure. The functional is GGA-PBE.

Unit cell a=5.825 b=8.277 c=8.277 alpha=120.00 beta=90.00 gamma=90.00
Positions (direct):
In 0.672 0.323 0.323
In 0.672 0.000 0.677
In 0.672 0.677 0.000
In 0.328 0.677 0.677
In 0.328 0.000 0.323
In 0.328 0.323 0.000
Cu 0.500 0.000 0.000
Ag 0.837 0.668 0.668
Ag 0.837 0.000 0.332
Ag 0.837 0.332 0.000
Ag 0.163 0.332 0.332
Ag 0.163 0.000 0.668
Ag 0.163 0.668 0.000
Ag 0.500 0.333 0.667
Ag 0.500 0.667 0.333
Ag 0.000 0.667 0.333
Ag 0.000 0.333 0.667


Record 2
This record from Alexandria describes a geometry-optimized In2Cu2Ag structure. The functional is GGA-PBE.

- Relative energy among the computed polymorphs: 0.00 eV/f.u.

Unit cell a=7.071 b=7.071 c=3.639 alpha=90.00 beta=90.00 gamma=90.00
Positions (direct):
Cu 0.373 0.873 0.000
Cu 0.873 0.627 0.000
Cu 0.627 0.127 0.000
Cu 0.127 0.373 0.000
Ag 0.000 0.000 0.000
Ag 0.500 0.500 0.000
In 0.172 0.672 0.500
In 0.672 0.828 0.500
In 0.828 0.328 0.500
In 0.328 0.172 0.500


Record 3
This record from Alexandria describes a geometry-optimized In2CuAg structure. The functional is GGA-PBE.

- Relative energy among the computed polymorphs: 0.26 eV/f.u.

Unit cell a=8.868 b=8.868 c=8.868 alpha=21.37 beta=21.37 gamma=21.37
Positions (direct):
Ag 0.250 0.250 0.250
Cu 0.750 0.750 0.750
In 0.006 0.006 0.006
In 0.494 0.494 0.494


Record 4
This record from Alexandria describes a geometry-optimized InCuAg2 structure. The functional is GGA-PBE.

Unit cell a=4.640 b=4.640 c=4.640 alpha=60.00 beta=60.00 gamma=60.00
Positions (direct):
Ag 0.000 0.000 0.000
Ag 0.250 0.250 0.250
Cu 0.500 0.500 0.500
In 0.750 0.750 0.750


Record 5
This record from Alexandria describes a geometry-optimized In2CuAg2 structure. The functional is GGA-PBE.

- Relative energy among the computed polymorphs: 0.76 eV/f.u.

Unit cell a=7.113 b=7.113 c=4.131 alpha=90.00 beta=90.00 gamma=90.00
Positions (direct):
Cu 0.000 0.000 0.000
Cu 0.500 0.500 0.000
Ag 0.144 0.644 0.500
Ag 0.644 0.856 0.500
Ag 0.856 0.356 0.500
Ag 0.356 0.144 0.500
In 0.341 0.841 0.000
In 0.841 0.659 0.000
In 0.659 0.159 0.000
In 0.159 0.341 0.000


Record 6
This record from Alexandria describes a geometry-optimized InCuAg4 structure. The functional is GGA-PBE.

- Relative energy among the computed polymorphs: 1.00 eV/f.u.

Unit cell a=5.507 b=5.507 c=5.507 alpha=60.00 beta=60.00 gamma=60.00
Positions (direct):
In 0.000 0.000 0.000
Cu 0.750 0.750 0.750
Ag 0.874 0.375 0.375
Ag 0.375 0.375 0.874
Ag 0.375 0.874 0.375
Ag 0.375 0.375 0.375


Let's list energy of formation from the pure elements in order: 0.055, 0.077, 0.118, 0.053, 0.191, 0.236 eV/atom.
Let's list N(E_F) in order: 5.81, 3.49, 2.88, 1.38, 3.08, 3.99 states/eV/cell.